Density functional theory data (GGA-PBE) for an optimized crystal structure of LiCdTc2.

Output
Calculated volume = 63 Å³ per cell
Formation enthalpy at 0 K = 0.348 eV per atom
Symmetry = C2/m (12)
Magnetization = 0.00 Bohr magnetons per cell

a b c (Å): 5.435 5.435 2.677
angles (deg): 98.69 98.69 123.42
Sites, in units of the cell vectors:
Li  0.000  0.000  0.000
Cd  0.500  0.500  0.000
Tc  0.000  0.500  0.500
Tc  0.500  0.000  0.500

=====

Density functional theory data (GGA-PBE) for an optimized crystal structure of Mg3Tl4.

Output
Excess energy over the best structure of this formula in the dataset = 0 meV/atom
Calculated volume = 184 Å³ per cell
Formation enthalpy at 0 K = 0.004 eV per atom
Symmetry = R3 (146)
Magnetization = 0.00 Bohr magnetons per cell

a b c (Å): 5.758 5.758 5.758
angles (deg): 98.50 98.50 98.50
Sites, in units of the cell vectors:
Mg  0.045  0.759  0.195
Mg  0.195  0.045  0.759
Mg  0.759  0.195  0.045
Tl  0.306  0.306  0.306
Tl  0.491  0.630  0.923
Tl  0.630  0.923  0.491
Tl  0.923  0.491  0.630

=====

Density functional theory data (GGA-PBE) for an optimized crystal structure of Tl3CoGe.

Output
Excess energy over the best structure of this formula in the dataset = 561 meV/atom
Calculated volume = 163 Å³ per cell
Formation enthalpy at 0 K = 1.032 eV per atom
Symmetry = Pm-3m (221)
Magnetization = 1.84 Bohr magnetons per cell

a b c (Å): 5.466 5.466 5.466
angles (deg): 90.00 90.00 90.00
Sites, in units of the cell vectors:
Tl  0.000  0.000  0.500
Tl  0.000  0.500  0.000
Tl  0.500  0.000  0.000
Co  0.500  0.500  0.500
Ge  0.000  0.000  0.000